VRe3Pd | PBE-GGA | relaxed

## Properties
Density ... 13.44 g/cm3
Symmetry ... Pm-3m, No. 221
Energy of formation ... 1612 meV/atom
Total moment ... 0.00 μB/atom
Energy above the lowest structure with this stoichiometry ... 0.000 eV/atom
Volume ... 88.5 Å³/cell

Cell lengths 4.4562, 4.4562, 4.4562 Å; angles 90.00, 90.00, 90.00 degrees
Element x y z (fractional)
Re 0.0000 0.0000 0.5000
Re 0.5000 0.0000 0.0000
V 0.0000 0.0000 0.0000
Pd 0.5000 0.5000 0.5000
Re 0.0000 0.5000 0.0000

=====

V5Re4Pd | PBE-GGA | relaxed

## Properties
Density ... 12.94 g/cm3
Symmetry ... P4/mmm, No. 123
Energy of formation ... -276 meV/atom
Total moment ... 0.09 μB/atom
Volume ... 141.9 Å³/cell

Cell lengths 3.0518, 3.0518, 15.2384 Å; angles 90.00, 90.00, 90.00 degrees
Element x y z (fractional)
Re 0.0000 0.0000 0.2006
Re 0.0000 0.0000 0.5995
V 0.5000 0.5000 0.3019
V 0.5000 0.5000 0.6981
Pd 0.0000 0.0000 0.0000
V 0.5000 0.5000 0.1080
V 0.5000 0.5000 0.8920
Re 0.0000 0.0000 0.7994
V 0.5000 0.5000 0.5000
Re 0.0000 0.0000 0.4005